Record 1
! Ta2RhPb2 | the Alexandria database | PBE | optimized geometry; values from VASP
&SYSTEM
  ibrav = 0, nat = 10, ntyp = 3
/
ATOMIC_SPECIES
Ta 180.95 Ta.upf
Rh 102.91 Rh.upf
Pb 207.20 Pb.upf
CELL_PARAMETERS angstrom
6.776 0.000 0.000
0.000 6.776 0.000
0.000 0.000 4.748
ATOMIC_POSITIONS angstrom
Ta 0.963 2.425 0.000
Ta 2.425 5.813 0.000
Ta 4.352 0.963 0.000
Ta 5.813 4.352 0.000
Rh 0.000 0.000 0.000
Rh 3.388 3.388 0.000
Pb 1.187 4.575 2.374
Pb 2.201 1.187 2.374
Pb 4.575 5.590 2.374
Pb 5.590 2.201 2.374
! - offset from the most stable computed form (meV per atom) = 0
! - Fermi-level density of states (states/eV/cell) = 5.3
! - crystal system = tetragonal
! - formation energy (meV per atom) = 499

---

Record 2
! TaRhPb2 | the Alexandria database | PBE | optimized geometry; values from VASP
&SYSTEM
  ibrav = 0, nat = 4, ntyp = 3
/
ATOMIC_SPECIES
Ta 180.95 Ta.upf
Rh 102.91 Rh.upf
Pb 207.20 Pb.upf
CELL_PARAMETERS angstrom
0.000 3.500 3.500
3.500 0.000 3.500
3.500 3.500 0.000
ATOMIC_POSITIONS angstrom
Ta 0.000 0.000 0.000
Rh 5.250 5.250 5.250
Pb 1.750 1.750 1.750
Pb 3.500 3.500 3.500
! - offset from the most stable computed form (meV per atom) = 622
! - Fermi-level density of states (states/eV/cell) = 5.7
! - crystal system = cubic
! - formation energy (meV per atom) = 620

---

Record 3
! Ta3RhPb | the Alexandria database | PBE | optimized geometry; values from VASP
&SYSTEM
  ibrav = 0, nat = 5, ntyp = 3
/
ATOMIC_SPECIES
Ta 180.95 Ta.upf
Rh 102.91 Rh.upf
Pb 207.20 Pb.upf
CELL_PARAMETERS angstrom
5.036 0.000 0.000
0.000 5.036 0.000
0.000 0.000 5.036
ATOMIC_POSITIONS angstrom
Ta 0.000 0.000 2.518
Ta 0.000 2.518 0.000
Ta 2.518 0.000 0.000
Rh 2.518 2.518 2.518
Pb 0.000 0.000 0.000
! - offset from the most stable computed form (meV per atom) = 1596
! - Fermi-level density of states (states/eV/cell) = 6.8
! - crystal system = cubic
! - formation energy (meV per atom) = 2571

---

Record 4
! TaRh2Pb | the Alexandria database | PBE | optimized geometry; values from VASP
&SYSTEM
  ibrav = 0, nat = 4, ntyp = 3
/
ATOMIC_SPECIES
Ta 180.95 Ta.upf
Rh 102.91 Rh.upf
Pb 207.20 Pb.upf
CELL_PARAMETERS angstrom
3.054 0.000 0.000
0.000 4.626 0.000
-1.093 0.000 4.978
ATOMIC_POSITIONS angstrom
Ta 0.000 0.000 0.000
Rh 1.485 2.313 0.681
Rh 1.538 0.000 2.355
Pb -0.005 2.313 3.024
! - Fermi-level density of states (states/eV/cell) = 2.2
! - crystal system = monoclinic
! - formation energy (meV per atom) = -46

---

Record 5
! TaRh2Pb | the Alexandria database | PBE | optimized geometry; values from VASP
&SYSTEM
  ibrav = 0, nat = 4, ntyp = 3
/
ATOMIC_SPECIES
Ta 180.95 Ta.upf
Rh 102.91 Rh.upf
Pb 207.20 Pb.upf
CELL_PARAMETERS angstrom
4.225 0.000 0.000
0.000 4.225 0.000
0.000 0.000 3.891
ATOMIC_POSITIONS angstrom
Ta 0.000 0.000 0.000
Rh 0.000 2.112 1.946
Rh 2.112 0.000 1.946
Pb 2.112 2.112 0.000
! - Fermi-level density of states (states/eV/cell) = 5.2
! - crystal system = tetragonal
! - formation energy (meV per atom) = 44

---

Record 6
! TaRh2Pb | the Alexandria database | PBE | optimized geometry; values from VASP
&SYSTEM
  ibrav = 0, nat = 4, ntyp = 3
/
ATOMIC_SPECIES
Ta 180.95 Ta.upf
Rh 102.91 Rh.upf
Pb 207.20 Pb.upf
CELL_PARAMETERS angstrom
3.193 0.000 0.000
0.000 3.243 0.000
-0.638 0.000 7.219
ATOMIC_POSITIONS angstrom
Ta 0.000 0.000 0.000
Rh 0.925 1.621 5.790
Rh 1.629 1.621 1.428
Pb -0.319 0.000 3.609
! - Fermi-level density of states (states/eV/cell) = 1.7
! - crystal system = monoclinic
! - formation energy (meV per atom) = -280